Here is NaBiPbO4 after structural relaxation from Alexandria. Energies are from GGA-PBE.

**M_tot**: 0.0 Bohr magnetons per cell
**Uncorrected energy**: -5.267 eV per atom
**Raw formation energy**: -1.16 eV/atom

Geometry as extended XYZ:
```
14
Lattice="-4.504 -0.809 5.405 4.267 -5.215 -1.865 2.621 5.554 3.015" Properties=species:S:1:pos:R:3 pbc="T T T"
O -0.582 1.107 2.348
O 1.900 -1.486 1.361
O -0.733 -1.564 3.794
O 0.484 1.015 5.195
O 2.967 -1.578 4.208
O -2.497 0.763 4.646
O 4.881 -1.234 1.910
O 3.117 1.094 2.761
Bi 1.192 -0.235 3.278
Bi 3.444 0.169 0.575
Pb -2.252 -0.405 2.702
Pb -0.941 2.373 4.210
Na -0.472 -3.875 3.666
Na 2.856 3.405 2.890
```